No. 1
The following is a DFT calculation (PBE+U) of a geometry-optimized Li2Ni3TeO8 structure.

## Properties
* relative energy among the computed polymorphs: 0.000 eV/atom

Unit cell a=5.897 b=5.900 c=10.457 alpha=90.37 beta=106.03 gamma=119.83
Fractional positions:
Li: 0.133 0.060 0.202
Li: 0.143 0.570 0.702
Li: 0.857 0.430 0.298
Li: 0.867 0.940 0.798
Ni: 0.000 0.000 0.500
Ni: 0.000 0.500 0.000
Ni: 0.500 0.000 0.000
Ni: 0.500 0.000 0.500
Ni: 0.500 0.500 0.000
Ni: 0.500 0.500 0.500
Te: 0.490 0.740 0.250
Te: 0.510 0.260 0.750
O: 0.256 0.848 0.127
O: 0.263 0.618 0.907
O: 0.264 0.397 0.129
O: 0.267 0.633 0.371
O: 0.279 0.370 0.627
O: 0.280 0.913 0.631
O: 0.281 0.147 0.869
O: 0.289 0.144 0.407
O: 0.711 0.856 0.593
O: 0.719 0.853 0.131
O: 0.720 0.087 0.369
O: 0.721 0.630 0.373
O: 0.733 0.367 0.629
O: 0.736 0.603 0.871
O: 0.737 0.382 0.093
O: 0.744 0.152 0.873

---

No. 2
The following is a DFT calculation (PBE+U) of a geometry-optimized CaW2O5 structure.

## Properties
* relative energy among the computed polymorphs: 0.000 eV/atom

Unit cell a=4.011 b=13.400 c=4.051 alpha=90.00 beta=90.00 gamma=90.00
Fractional positions:
Ca: 0.250 0.250 0.066
Ca: 0.750 0.750 0.934
W: 0.250 0.594 0.479
W: 0.250 0.906 0.479
W: 0.750 0.094 0.521
W: 0.750 0.406 0.521
O: 0.250 0.072 0.486
O: 0.250 0.428 0.486
O: 0.250 0.616 0.988
O: 0.250 0.750 0.497
O: 0.250 0.884 0.988
O: 0.750 0.116 0.012
O: 0.750 0.250 0.503
O: 0.750 0.384 0.012
O: 0.750 0.572 0.514
O: 0.750 0.928 0.514

---

Raw total energy for the records above, in order: -5.115 -7.232 eV per atom